# PBE+U NaCo2O4, relaxed
# DOS(E_F): 0.178 states/eV/atom
# Spin magnetization: 3.0 Bohr magnetons per cell
# Theoretical density: 4.5 g/cm3
# Volume: 10.685 A^3/atom
# Energy relative to the lowest polymorph listed for this composition: 163 meV/atom
data_NaCo2O4
_cell_length_a 2.8648
_cell_length_b 2.8648
_cell_length_c 31.5695
_cell_angle_alpha 90.00
_cell_angle_beta 90.00
_cell_angle_gamma 120.00
_symmetry_space_group_name_H-M 'R 3 m'
_symmetry_Int_Tables_number 160
_symmetry_space_group_name_Hall 'R 3 -2"'
loop_
_atom_site_label
_atom_site_type_symbol
_atom_site_fract_x
_atom_site_fract_y
_atom_site_fract_z
Na1 Na 0.0000 0.0000 0.0000
Co1 Co 0.0000 0.0000 0.0878
Co2 Co 0.0000 0.0000 0.5817
O1 O 0.0000 0.0000 0.2816
O2 O 0.0000 0.0000 0.3876
O3 O 0.0000 0.0000 0.7819
O4 O 0.0000 0.0000 0.8875